# 1
DFT (GGA-PBE) results for PrY5Cu4 after structural relaxation.

Computed properties:
Formation energy, eV per atom: -0.1887

Cell: 3.4855 3.4855 19.4565 Å, 90.00 90.00 90.00°
Closest atoms and distances in Å follow each position.
Space group P4/mmm (No. 123)
Unique sites:
Pr  0.0000  0.0000  0.0000 [1 per cell]  4 Pr 3.49, 8 Y 3.70
Y  0.5000  0.5000  0.1416 [2 per cell]  4 Cu 3.00
Y  0.5000  0.5000  0.3194 [2 per cell]  8 Cu 3.02-3.03
Y  0.5000  0.5000  0.5000 [1 per cell]  8 Cu 3.03
Cu  0.0000  0.0000  0.2292 [2 per cell]  8 Y 3.00-3.03
Cu  0.0000  0.0000  0.4093 [2 per cell]  8 Y 3.02-3.03


# 2
DFT (GGA-PBE) results for LiNiRh2 after structural relaxation.

Computed properties:
Formation energy, eV per atom: 0.0180

Cell: 5.2479 8.5263 2.6175 Å, 90.00 116.49 90.00°
Closest atoms and distances in Å follow each position.
Space group C2/m (No. 12)
Unique sites:
Li  0.0000  0.0000  0.0000 [2 per cell]  4 Rh 2.54, 2 Li 2.62, 4 Ni 2.62-2.76
Ni  0.0000  0.5000  0.0000 [2 per cell]  4 Rh 2.54, 2 Ni 2.62, 4 Li 2.62-2.76
Rh  0.2500  0.2500  0.5000 [4 per cell]  2 Li 2.54, 2 Ni 2.54, 6 Rh 2.62-2.76


# 3
DFT (GGA-PBE) results for TbDy2MnN4 after structural relaxation.

Computed properties:
Formation energy from raw total energies, eV per atom: -1.182

Cell: 3.3620 11.3616 11.5045 Å, 90.00 90.00 90.00°
Closest atoms and distances in Å follow each position.
Space group Cmcm (No. 63)
Unique sites:
Tb  0.0000  0.1177  0.2500 [4 per cell]  6 N 2.51-2.76
Dy  0.0000  0.3680  0.0435 [8 per cell]  6 N 2.31-2.50
Mn  0.0000  0.1519  0.7500 [4 per cell]  4 N 1.88-1.90
N  0.0000  0.0000  0.0000 [4 per cell]  4 Dy 2.31
N  0.0000  0.2676  0.6334 [8 per cell]  1 Mn 1.88
N  0.0000  0.4255  0.2500 [4 per cell]  2 Mn 1.90


# 4
DFT (GGA-PBE) results for NaMg6Tl12 after structural relaxation.

Computed properties:
Formation energy, eV per atom: 0.0182

Cell: 10.1582 10.1582 10.1582 Å, 90.00 90.00 90.00°
Closest atoms and distances in Å follow each position.
Space group Im-3 (No. 204)
Unique sites:
Na  0.0000  0.0000  0.0000 [2 per cell]  12 Tl 3.30
Mg  0.0000  0.3523  0.5000 [12 per cell]  2 Tl 2.92, 1 Mg 3.00
Tl  0.0000  0.1828  0.2680 [24 per cell]  1 Mg 2.92


# 5
DFT (GGA-PBE) results for KLiCeI5 after structural relaxation.

Computed properties:
Formation energy from raw total energies, eV per atom: -1.328

Cell: 10.1038 13.8653 11.6121 Å, 90.00 113.25 90.00°
Closest atoms and distances in Å follow each position.
Space group C2/c (No. 15)
Unique sites:
K  0.0000  0.1363  0.2500 [4 per cell]  5 I 3.55-3.74
Li  0.0000  0.1911  0.7500 [4 per cell]  4 I 2.76-2.81
Ce  0.0000  0.5000  0.0000 [4 per cell]  6 I 3.14-3.18
I  0.0000  0.4057  0.2500 [4 per cell]  2 Ce 3.18
I  0.1288  0.3017  0.6250 [8 per cell]  1 Li 2.76
I  0.1828  0.0692  0.9390 [8 per cell]  1 Li 2.81


# 6
DFT (GGA-PBE) results for Mn3POs after structural relaxation.

Computed properties:
Formation energy, eV per atom: 1.3518

Cell: 4.6518 4.6518 4.6518 Å, 90.00 90.00 90.00°
Closest atoms and distances in Å follow each position.
Space group Pm-3m (No. 221)
Unique sites:
Mn  0.0000  0.0000  0.5000 [3 per cell]  2 Os 2.33
P  0.5000  0.5000  0.5000 [1 per cell]  12 Mn 3.29
Os  0.0000  0.0000  0.0000 [1 per cell]  6 Mn 2.33


# 7
DFT (GGA-PBE) results for Tb2CeNdAs4 after structural relaxation.

Computed properties:
Formation energy, eV per atom: -1.5067

Cell: 7.2504 4.1925 7.2621 Å, 90.00 109.43 90.00°
Closest atoms and distances in Å follow each position.
Space group P2/m (No. 10)
Unique sites:
Tb  0.0000  0.0000  0.0000 [1 per cell]  6 As 2.95-2.96
Tb  0.0000  0.5000  0.5000 [1 per cell]  6 As 2.93
Ce  0.5000  0.0000  0.5000 [1 per cell]  6 As 2.96-2.97
Nd  0.5000  0.5000  0.0000 [1 per cell]  6 As 2.99-3.00
As  0.2443  0.0000  0.7447 [2 per cell]  3 Tb 2.93-2.96, 1 Ce 2.96, 2 Nd 3.00
As  0.2456  0.5000  0.2511 [2 per cell]  3 Tb 2.93-2.95, 2 Ce 2.97, 1 Nd 2.99


# 8
DFT (GGA-PBE) results for TlH2Au after structural relaxation.

Computed properties:
Uncorrected energy, hartree per atom: -0.1125

Cell: 3.9262 3.9302 12.8657 Å, 81.53 81.43 90.00°
Closest atoms and distances in Å follow each position.
Space group P-1 (No. 2)
Unique sites:
Tl  0.0923  0.0915  0.3099 [2 per cell]  4 Au 3.09-3.10
H  0.2677  0.2665  0.9663 [2 per cell]  1 H 0.75
H  0.2958  0.2958  0.9066 [2 per cell]  1 H 0.75
Au  0.0000  0.5000  0.5000 [1 per cell]  4 Au 2.78, 4 Tl 3.09-3.10
Au  0.5000  0.0000  0.5000 [1 per cell]  4 Au 2.78, 4 Tl 3.09


# 9
DFT (GGA-PBE) results for Li5S2Cl after structural relaxation.

Computed properties:
Formation energy from raw total energies, eV per atom: -1.414

Cell: 10.0403 7.8637 7.0349 Å, 90.00 106.02 90.00°
Closest atoms and distances in Å follow each position.
Space group P2_1/c (No. 14)
Unique sites:
Li  0.0166  0.1337  0.1918 [4 per cell]  3 S 2.49-2.68, 1 Cl 2.68
Li  0.2316  0.1314  0.6510 [4 per cell]  3 S 2.40-2.57, 1 Cl 2.46
Li  0.2433  0.6139  0.6481 [4 per cell]  2 S 2.40-2.50, 2 Cl 2.42
Li  0.4062  0.1246  0.0421 [4 per cell]  4 S 2.46-2.49, 1 Li 2.72
Li  0.4261  0.6284  0.0554 [4 per cell]  3 S 2.39-2.45, 1 Cl 2.40
S  0.1508  0.1250  0.9423 [4 per cell]  6 Li 2.40-2.64
S  0.4981  0.1235  0.7478 [4 per cell]  8 Li 2.39-2.57
Cl  0.1776  0.6303  0.9536 [4 per cell]  5 Li 2.40-2.68


# 10
DFT (GGA-PBE) results for NpCrNiP2 after structural relaxation.

Computed properties:
Formation energy, eV per atom: -0.6328

Cell: 3.7876 3.7876 10.1887 Å, 90.00 90.00 90.00°
Closest atoms and distances in Å follow each position.
Space group I-4m2 (No. 119)
Unique sites:
Np  0.0000  0.0000  0.0000 [2 per cell]  8 P 2.98, 4 Cr 3.17, 4 Ni 3.17
Cr  0.0000  0.5000  0.2500 [2 per cell]  4 P 2.27
Ni  0.0000  0.5000  0.7500 [2 per cell]  4 P 2.27
P  0.0000  0.0000  0.3727 [4 per cell]  2 Cr 2.27, 2 Ni 2.27


# 11
DFT (GGA-PBE) results for RbTiN2 after structural relaxation.

Computed properties:
Formation energy from raw total energies, eV per atom: -0.176

Cell: 3.1936 3.1936 21.3830 Å, 90.00 90.00 120.00°
Closest atoms and distances in Å follow each position.
Space group R-3m (No. 166, hexagonal axes)
Unique sites:
Rb  0.0000  0.0000  0.0000 [3 per cell]  2 N 2.57
Ti  0.0000  0.0000  0.5000 [3 per cell]  6 N 2.09
N  0.0000  0.0000  0.1204 [6 per cell]  3 Ti 2.09


# 12
DFT (GGA-PBE) results for LaSCl2O after structural relaxation.

Computed properties:
Formation energy from raw total energies, eV per atom: -0.776

Cell: 4.8629 4.8629 4.0466 Å, 90.00 90.00 90.00°
Closest atoms and distances in Å follow each position.
Space group P4/mmm (No. 123)
Unique sites:
La  0.0000  0.0000  0.0000 [1 per cell]  8 Cl 3.16, 4 S 3.44
S  0.5000  0.5000  0.0000 [1 per cell]  2 O 2.02
Cl  0.0000  0.5000  0.5000 [2 per cell]  2 O 2.43
O  0.5000  0.5000  0.5000 [1 per cell]  2 S 2.02


# 13
DFT (GGA-PBE) results for BaScAg after structural relaxation.

Computed properties:
Formation energy, eV per atom: -0.0832

Cell: 4.8935 4.8935 8.0684 Å, 90.00 90.00 90.00°
Closest atoms and distances in Å follow each position.
Space group P4/nmm (No. 129, origin choice 2)
Unique sites:
Ba  0.2500  0.2500  0.1397 [2 per cell]  5 Ag 3.62-3.72, 4 Sc 3.80
Sc  0.2500  0.7500  0.5000 [2 per cell]  4 Ag 2.89
Ag  0.2500  0.2500  0.6911 [2 per cell]  4 Sc 2.89


# 14
DFT (GGA-PBE) results for La21Fe8Sn7C12 after structural relaxation.

Computed properties:
Formation energy, eV per atom: -0.4587

Cell: 16.4874 16.4874 16.4874 Å, 90.00 90.00 90.00°
Closest atoms and distances in Å follow each position.
Space group Fm-3m (No. 225)
Unique sites:
La  0.0000  0.0000  0.0000 [4 per cell]  6 Sn 3.46, 8 La 3.86
La  0.0000  0.1696  0.3304 [48 per cell]  2 C 2.61
La  0.1353  0.1353  0.1353 [32 per cell]  3 C 2.71
Fe  0.1964  0.1964  0.3036 [32 per cell]  3 C 1.90
Sn  0.0000  0.0000  0.2098 [24 per cell]  9 La 3.38-3.46
Sn  0.0000  0.0000  0.5000 [4 per cell]  12 La 3.95
C  0.1099  0.2500  0.2500 [48 per cell]  2 Fe 1.90


# 15
DFT (GGA-PBE) results for PrSm3Er6 after structural relaxation.

Computed properties:
Formation energy, eV per atom: 0.2966

Cell: 9.8749 9.8749 11.5890 Å, 90.00 90.00 120.00°
Closest atoms and distances in Å follow each position.
Space group R3 (No. 146, hexagonal axes)
Unique sites:
Pr  0.0000  0.0000  0.0000 [3 per cell]  2 Sm 2.92-2.93, 3 Er 3.25
Sm  0.0000  0.0000  0.2519 [3 per cell]  1 Sm 2.87, 1 Pr 2.92
Sm  0.0000  0.0000  0.4999 [3 per cell]  2 Sm 2.87
Sm  0.0000  0.0000  0.7475 [3 per cell]  1 Sm 2.87, 1 Pr 2.93
Er  0.0002  0.3288  0.0006 [9 per cell]  1 Pr 3.25, 2 Sm 3.44-3.45
Er  0.0002  0.6732  0.5006 [9 per cell]  3 Sm 3.23-3.47


# 16
DFT (GGA-PBE) results for Re2OsRh after structural relaxation.

Computed properties:
Formation energy, eV per atom: 0.0187

Cell: 2.7446 2.7446 26.9230 Å, 90.00 90.00 120.00°
Closest atoms and distances in Å follow each position.
Space group R3m (No. 160, hexagonal axes)
Unique sites:
Re  0.0000  0.0000  0.0000 [3 per cell]  3 Rh 2.72, 9 Re 2.74-2.78
Re  0.0000  0.0000  0.2483 [3 per cell]  3 Os 2.72, 9 Re 2.74-2.78
Os  0.0000  0.0000  0.4997 [3 per cell]  3 Re 2.72, 6 Os 2.74, 3 Rh 2.77
Rh  0.0000  0.0000  0.7488 [3 per cell]  3 Re 2.72, 6 Rh 2.74, 3 Os 2.77


# 17
DFT (GGA-PBE) results for YScV4 after structural relaxation.

Computed properties:
Formation energy, eV per atom: 0.3108

Cell: 7.5771 7.5771 7.5771 Å, 90.00 90.00 90.00°
Closest atoms and distances in Å follow each position.
Space group F-43m (No. 216)
Unique sites:
Y  0.0000  0.0000  0.0000 [4 per cell]  12 V 3.14, 4 Sc 3.28
Sc  0.2500  0.2500  0.7500 [4 per cell]  12 V 3.14, 4 Y 3.28
V  0.1240  0.1240  0.3760 [16 per cell]  6 V 2.66-2.70


# 18
DFT (GGA-PBE) results for Cs2ReF7 after structural relaxation.

Computed properties:
Formation energy from raw total energies, eV per atom: -2.493

Cell: 15.3292 6.7192 10.8699 Å, 90.00 134.14 90.00°
Closest atoms and distances in Å follow each position.
Space group C2/c (No. 15)
Unique sites:
Cs  0.1697  0.0665  0.2609 [8 per cell]  7 F 2.95-3.28
Re  0.0000  0.4557  0.7500 [4 per cell]  7 F 1.96-1.99
F  0.0000  0.1609  0.7500 [4 per cell]  1 Re 1.98
F  0.0701  0.3036  0.3996 [8 per cell]  1 Re 1.99
F  0.0828  0.3664  0.9817 [8 per cell]  1 Re 1.96
F  0.1562  0.4528  0.8129 [8 per cell]  1 Re 1.98


# 19
DFT (GGA-PBE) results for PmSmSiPd after structural relaxation.

Computed properties:
Formation energy from raw total energies, eV per atom: -0.649

Cell: 7.2170 7.2170 7.2170 Å, 90.00 90.00 90.00°
Closest atoms and distances in Å follow each position.
Space group F-43m (No. 216)
Unique sites:
Pm  0.0000  0.0000  0.0000 [4 per cell]  4 Pd 3.13, 4 Si 3.13
Sm  0.0000  0.0000  0.5000 [4 per cell]  4 Pd 3.13, 4 Si 3.13
Si  0.2500  0.2500  0.7500 [4 per cell]  4 Pm 3.13, 4 Sm 3.13
Pd  0.2500  0.2500  0.2500 [4 per cell]  4 Pm 3.13, 4 Sm 3.13


# 20
DFT (GGA-PBE) results for Ca2NpTcN5 after structural relaxation.

Computed properties:
Formation energy from raw total energies, eV per atom: -0.793

Cell: 3.4566 13.4474 10.7404 Å, 90.00 90.00 90.00°
Closest atoms and distances in Å follow each position.
Space group Cmc2_1 (No. 36)
Unique sites:
Ca  0.0000  0.1018  0.0000 [4 per cell]  6 N 2.43-2.57
Ca  0.0000  0.1461  0.6448 [4 per cell]  7 N 2.45-2.66
Np  0.0000  0.2096  0.3536 [4 per cell]  6 N 2.14-2.26
Tc  0.0000  0.4773  0.7774 [4 per cell]  1 N 1.76
N  0.0000  0.0414  0.3627 [4 per cell]  2 Tc 1.97
N  0.0000  0.2830  0.9794 [4 per cell]  2 Np 2.20, 1 Ca 2.45
N  0.0000  0.3130  0.7370 [4 per cell]  2 Np 2.16, 1 Tc 2.25
N  0.0000  0.3672  0.3286 [4 per cell]  1 Np 2.14, 1 Tc 2.16
N  0.0000  0.4959  0.1172 [4 per cell]  1 Tc 1.76


For each record above, in turn, the calculated total magnetic moment values are 0.00, 0.09, 0.00, 0.00, 0.13, 1.93, 0.07, 0.00, 0.00, 0.72, 0.00, 0.18, 0.00, 0.00, 0.00, 0.00, 0.82, 0.20, 0.00, 0.11 μB/atom.